The following is a DFT calculation (PBE-GGA) of a geometry-optimized Sr2Ag2Pb structure.

## Properties
The magnetic moment is 0.00 μB per formula unit.

a = 6.2439 Å, b = 6.2439 Å, c = 8.3613 Å
α = 90.00°, β = 90.00°, γ = 90.00°
With the nearest neighbours (Å) after each atom.
Space group I4/mmm (No. 139)
Unique sites:
Sr: 0.0000 0.5000 0.2500 [4 per cell]  4 Ag 3.22
Ag: 0.0000 0.0000 0.1559 [4 per cell]  1 Ag 2.61, 1 Pb 2.88
Pb: 0.0000 0.0000 0.5000 [2 per cell]  2 Ag 2.88



The following is a DFT calculation (PBE-GGA) of a geometry-optimized Sr5AgPb4 structure.

## Properties
The magnetic moment is 0.00 μB per formula unit.

a = 3.8484 Å, b = 3.8484 Å, c = 22.6748 Å
α = 90.00°, β = 90.00°, γ = 90.00°
With the nearest neighbours (Å) after each atom.
Space group P4/mmm (No. 123)
Unique sites:
Sr: 0.0000 0.0000 0.0000 [1 per cell]  8 Pb 3.60, 4 Sr 3.85
Sr: 0.0000 0.0000 0.2079 [2 per cell]  8 Pb 3.59-3.60, 4 Sr 3.85
Sr: 0.0000 0.0000 0.4106 [2 per cell]  4 Ag 3.39, 4 Pb 3.53
Ag: 0.5000 0.5000 0.5000 [1 per cell]  8 Sr 3.39
Pb: 0.5000 0.5000 0.1037 [2 per cell]  8 Sr 3.60, 4 Pb 3.85
Pb: 0.5000 0.5000 0.3111 [2 per cell]  8 Sr 3.53-3.59, 4 Pb 3.85



The following is a DFT calculation (PBE-GGA) of a geometry-optimized SrAgPb structure.

## Properties
The magnetic moment is 0.00 μB per formula unit.

a = 18.6596 Å, b = 4.5522 Å, c = 4.5726 Å
α = 90.00°, β = 104.09°, γ = 90.00°
With the nearest neighbours (Å) after each atom.
Space group Cm (No. 8)
Unique sites:
Sr: 0.0000 0.0000 0.0000 [2 per cell]  4 Ag 3.46, 6 Pb 3.60-3.72
Sr: 0.2501 0.0000 0.7480 [2 per cell]  4 Ag 3.46-3.47, 6 Pb 3.60-3.71
Ag: 0.1802 0.5000 0.1790 [2 per cell]  3 Pb 2.82-2.86
Ag: 0.4305 0.0000 0.4313 [2 per cell]  3 Pb 2.82-2.86
Pb: 0.0884 0.5000 0.5875 [2 per cell]  3 Ag 2.82-2.86
Pb: 0.3382 0.5000 0.3358 [2 per cell]  3 Ag 2.82-2.86



The following is a DFT calculation (PBE-GGA) of a geometry-optimized Sr2Ag3Pb5 structure.

## Properties
The magnetic moment is 0.00 μB per formula unit.

a = 4.8448 Å, b = 29.2478 Å, c = 8.0894 Å
α = 90.00°, β = 90.00°, γ = 90.00°
With the nearest neighbours (Å) after each atom.
Space group Cmc2_1 (No. 36)
Unique sites:
Sr: 0.0000 0.0223 0.0000 [4 per cell]  5 Ag 3.31-3.54, 6 Pb 3.55-3.70
Sr: 0.0000 0.3256 0.0243 [4 per cell]  9 Pb 3.50-3.87, 4 Ag 3.53-3.72
Ag: 0.0000 0.1089 0.7365 [4 per cell]  6 Pb 2.96-3.30, 1 Sr 3.31
Ag: 0.0000 0.2706 0.5142 [4 per cell]  7 Pb 2.99-3.09
Ag: 0.0000 0.4557 0.7901 [4 per cell]  5 Pb 2.93-3.25
Pb: 0.0000 0.0969 0.3610 [4 per cell]  3 Ag 2.93-3.06
Pb: 0.0000 0.2048 0.2203 [4 per cell]  3 Ag 3.03-3.06, 2 Pb 3.30-3.35
Pb: 0.0000 0.2079 0.8129 [4 per cell]  4 Ag 2.96-3.03, 1 Pb 3.30
Pb: 0.0000 0.3763 0.5088 [4 per cell]  4 Ag 3.09-3.30, 1 Pb 3.42
Pb: 0.0000 0.4474 0.1726 [4 per cell]  4 Ag 2.97-3.10



The following is a DFT calculation (PBE-GGA) of a geometry-optimized SrAgPb structure.

## Properties
The magnetic moment is 0.00 μB per formula unit.

a = 3.9838 Å, b = 3.9838 Å, c = 11.3429 Å
α = 90.00°, β = 90.00°, γ = 90.00°
With the nearest neighbours (Å) after each atom.
Space group I4mm (No. 107)
Unique sites:
Sr: 0.0000 0.0000 0.0000 [2 per cell]  5 Pb 3.41-3.61, 5 Ag 3.45-3.67
Ag: 0.0000 0.0000 0.3237 [2 per cell]  4 Pb 3.15, 4 Sr 3.45
Pb: 0.0000 0.0000 0.6997 [2 per cell]  4 Ag 3.15, 1 Sr 3.41



The following is a DFT calculation (PBE-GGA) of a geometry-optimized SrAgPb structure.

## Properties
The magnetic moment is 0.00 μB per formula unit.

a = 5.0571 Å, b = 15.8908 Å, c = 8.7011 Å
α = 90.00°, β = 90.00°, γ = 90.00°
With the nearest neighbours (Å) after each atom.
Space group Pmmn (No. 59, origin choice 2)
Unique sites:
Sr: 0.2500 0.0017 0.2187 [4 per cell]  6 Ag 3.43-3.63, 6 Pb 3.47-3.63
Sr: 0.2500 0.2500 0.2891 [2 per cell]  6 Pb 3.48, 6 Ag 3.65-3.66
Sr: 0.2500 0.7500 0.2902 [2 per cell]  6 Ag 3.50-3.52, 6 Pb 3.60-3.65
Ag: 0.2500 0.1449 0.9163 [4 per cell]  3 Pb 2.93-2.94
Ag: 0.2500 0.5990 0.5835 [4 per cell]  4 Pb 2.93-3.22
Pb: 0.2500 0.1037 0.5869 [4 per cell]  4 Ag 2.93-3.22
Pb: 0.2500 0.6482 0.9141 [4 per cell]  3 Ag 2.93-2.98, 1 Pb 3.23



The following is a DFT calculation (PBE-GGA) of a geometry-optimized Sr3Ag4Pb2 structure.

## Properties
The magnetic moment is 0.00 μB per formula unit.

a = 11.8799 Å, b = 4.9469 Å, c = 9.6181 Å
α = 90.00°, β = 112.88°, γ = 90.00°
With the nearest neighbours (Å) after each atom.
Space group C2/m (No. 12)
Unique sites:
Sr: 0.0000 0.0000 0.0000 [2 per cell]  8 Ag 3.52-3.80, 4 Pb 3.78
Sr: 0.1448 0.5000 0.6887 [4 per cell]  7 Ag 3.28-3.52, 4 Pb 3.47-3.61
Ag: 0.0847 0.0000 0.4233 [4 per cell]  3 Pb 2.90-3.19, 1 Ag 2.92
Ag: 0.2241 0.5000 0.0557 [4 per cell]  2 Ag 2.86, 1 Pb 2.96
Pb: 0.1489 0.5000 0.3152 [4 per cell]  4 Ag 2.90-3.19



The following is a DFT calculation (PBE-GGA) of a geometry-optimized Sr2Ag2Pb structure.

## Properties
The magnetic moment is 0.00 μB per formula unit.

a = 3.9771 Å, b = 3.9771 Å, c = 19.4992 Å
α = 90.00°, β = 90.00°, γ = 90.00°
With the nearest neighbours (Å) after each atom.
Space group I4/mmm (No. 139)
Unique sites:
Sr: 0.0000 0.0000 0.1111 [4 per cell]  4 Ag 3.36, 4 Pb 3.55
Ag: 0.0000 0.5000 0.2500 [4 per cell]  4 Ag 2.81
Pb: 0.0000 0.0000 0.5000 [2 per cell]  8 Sr 3.55



| no. | total DFT energy (no corrections) (eV per atom) | E_form (meV per atom) |
| --- | --- | --- |
| 1 | -2.788 | -233 |
| 2 | -3.095 | -486 |
| 3 | -3.080 | -333 |
| 4 | -3.280 | -234 |
| 5 | -2.971 | -223 |
| 6 | -3.162 | -415 |
| 7 | -2.975 | -323 |
| 8 | -2.838 | -283 |